Entry from OQMD: crystalline Rb2TmNbS4 at its relaxed geometry (PBE-GGA).

a = 3.8360 Å, b = 3.8360 Å, c = 15.2603 Å
α = 90.00°, β = 90.00°, γ = 120.00°
Element x y z (fractional)
Rb 0.3333 0.6667 0.2566
Rb 0.6667 0.3333 0.7434
Tm 0.0000 0.0000 0.0000
Nb 0.0000 0.0000 0.5000
S 0.3333 0.6667 0.5891
S 0.3333 0.6667 0.9002
S 0.6667 0.3333 0.0998
S 0.6667 0.3333 0.4109

Results
Its size of the total moment is 0.2 μB/cell. Its mass density is 4.79 g/cm3. As for the volume: 194.5 Å³ per cell. The total energy is -5.504 eV per atom.